Density functional theory data (PBE) for an optimized crystal structure of BaRePb3.

Calculated values
* energy above the most stable polymorph in this dataset: 0 meV per atom

Cell: 5.4408 5.4408 5.4408 Å, 90.00 90.00 90.00°
Space group Pm-3m (No. 221)
Inequivalent atoms, fractional coordinates:
Ba: 0.0000 0.0000 0.0000 [1 per cell]
Re: 0.5000 0.5000 0.5000 [1 per cell]
Pb: 0.0000 0.5000 0.5000 [3 per cell]

Density functional theory data (PBE) for an optimized crystal structure of BaRe2Pb.

Calculated values
* final energy: -6.502 eV/atom

Cell: 3.1466 4.6182 6.9370 Å, 90.00 90.00 90.00°
Space group Pmmm (No. 47)
Inequivalent atoms, fractional coordinates:
Ba: 0.0000 0.0000 0.0000 [1 per cell]
Re: 0.5000 0.5000 0.3355 [2 per cell]
Pb: 0.0000 0.0000 0.5000 [1 per cell]

Density functional theory data (PBE) for an optimized crystal structure of BaRe2Pb.

Calculated values
* final energy: -5.943 eV/atom

Cell: 4.5732 4.5732 8.7881 Å, 90.00 90.00 90.00°
Space group I4/mmm (No. 139)
Inequivalent atoms, fractional coordinates:
Ba: 0.0000 0.0000 0.0000 [2 per cell]
Re: 0.0000 0.5000 0.2500 [4 per cell]
Pb: 0.0000 0.0000 0.5000 [2 per cell]